Entry 1:
Density functional theory data (GGA-PBE) for a relaxed Mg2Sb crystal.

## Properties
Its density of states at the Fermi level is 5.152 states/eV/cell. Its formation energy without anion corrections is 0.00 eV per atom.

The structure in CIF format:
```
data_Mg2Sb
_symmetry_space_group_name_H-M 'P 63/m m c'
_symmetry_Int_Tables_number 194
_symmetry_space_group_name_Hall '-P 6c 2c'
_cell_length_a 5.8065
_cell_length_b 5.8065
_cell_length_c 10.3077
_cell_angle_alpha 90.00
_cell_angle_beta 90.00
_cell_angle_gamma 120.00
loop_
_atom_site_label
_atom_site_type_symbol
_atom_site_fract_x
_atom_site_fract_y
_atom_site_fract_z
Mg1 Mg 0.0000 0.0000 0.0000
Mg2 Mg 0.1690 0.3379 0.2500
Sb1 Sb 0.3333 0.6667 0.6030
```

Entry 2:
Density functional theory data (GGA-PBE) for a relaxed MnGeIr2 crystal.

## Properties
Its energy of formation is -0.21 eV per atom. Its density of states at the Fermi level is 5.495 states/eV/cell.

The structure in CIF format:
```
data_MnGeIr2
_symmetry_space_group_name_H-M 'I 4/m m m'
_symmetry_Int_Tables_number 139
_symmetry_space_group_name_Hall '-I 4 2'
_cell_length_a 4.036
_cell_length_b 4.036
_cell_length_c 6.975
_cell_angle_alpha 90.00
_cell_angle_beta 90.00
_cell_angle_gamma 90.00
loop_
_atom_site_label
_atom_site_type_symbol
_atom_site_fract_x
_atom_site_fract_y
_atom_site_fract_z
Mn1 Mn 0.000 0.000 0.000
Ge1 Ge 0.000 0.000 0.500
Ir1 Ir 0.000 0.500 0.250
```

Entry 3:
Density functional theory data (GGA-PBE) for a relaxed Rb2CaCuBr5 crystal.

## Properties
Its density of states at the Fermi level is 0.000 states/eV/cell. Its formation energy without anion corrections is -1.53 eV per atom.

The structure in CIF format:
```
data_Rb2CaCuBr5
_symmetry_space_group_name_H-M 'C m c 21'
_symmetry_Int_Tables_number 36
_cell_length_a 4.353
_cell_length_b 20.016
_cell_length_c 14.279
_cell_angle_alpha 90.00
_cell_angle_beta 90.00
_cell_angle_gamma 90.00
loop_
_symmetry_equiv_pos_as_xyz
'x,y,z'
'-x,-y,z+1/2'
'-x,y,z'
'x,-y,z+1/2'
'x+1/2,y+1/2,z'
'-x+1/2,-y+1/2,z+1/2'
'-x+1/2,y+1/2,z'
'x+1/2,-y+1/2,z+1/2'
loop_
_atom_site_label
_atom_site_type_symbol
_atom_site_fract_x
_atom_site_fract_y
_atom_site_fract_z
Rb1 Rb 0.000 0.116 0.000
Rb2 Rb 0.000 0.122 0.641
Ca1 Ca 0.000 0.198 0.332
Cu1 Cu 0.000 0.437 0.743
Br1 Br 0.000 0.052 0.329
Br2 Br 0.000 0.298 0.971
Br3 Br 0.000 0.309 0.691
Br4 Br 0.000 0.340 0.322
Br5 Br 0.000 0.496 0.595
```

Entry 4:
Density functional theory data (GGA-PBE) for a relaxed HoTmPuSc crystal.

## Properties
Its energy of formation is 0.17 eV per atom. Its density of states at the Fermi level is 35.239 states/eV/cell.

The structure in CIF format:
```
data_HoTmPuSc
_symmetry_space_group_name_H-M 'F -4 3 m'
_symmetry_Int_Tables_number 216
_symmetry_space_group_name_Hall 'F -4 2 3'
_cell_length_a 7.667
_cell_length_b 7.667
_cell_length_c 7.667
_cell_angle_alpha 90.00
_cell_angle_beta 90.00
_cell_angle_gamma 90.00
loop_
_atom_site_label
_atom_site_type_symbol
_atom_site_fract_x
_atom_site_fract_y
_atom_site_fract_z
Ho1 Ho 0.000 0.000 0.000
Tm1 Tm 0.250 0.250 0.750
Pu1 Pu 0.000 0.000 0.500
Sc1 Sc 0.250 0.250 0.250
```

Entry 5:
Density functional theory data (GGA-PBE) for a relaxed LaBe2Zn crystal.

## Properties
Its energy of formation is 0.21 eV per atom. Its density of states at the Fermi level is 1.639 states/eV/cell.

The structure in CIF format:
```
data_LaBe2Zn
_symmetry_space_group_name_H-M 'P m m 2'
_symmetry_Int_Tables_number 25
_cell_length_a 2.874
_cell_length_b 3.026
_cell_length_c 7.340
_cell_angle_alpha 90.00
_cell_angle_beta 90.00
_cell_angle_gamma 90.00
loop_
_symmetry_equiv_pos_as_xyz
'x,y,z'
'-x,-y,z'
'-x,y,z'
'x,-y,z'
loop_
_atom_site_label
_atom_site_type_symbol
_atom_site_fract_x
_atom_site_fract_y
_atom_site_fract_z
La1 La 0.000 0.000 0.000
Be1 Be 0.000 0.000 0.451
Be2 Be 0.500 0.500 0.316
Zn1 Zn 0.500 0.500 0.653
```

Entry 6:
Density functional theory data (GGA-PBE) for a relaxed LiNd2Ga3Ir4 crystal.

## Properties
Its energy of formation is -0.63 eV per atom. Its density of states at the Fermi level is 3.857 states/eV/cell.

The structure in CIF format:
```
data_LiNd2Ga3Ir4
_symmetry_space_group_name_H-M 'P -4 m 2'
_symmetry_Int_Tables_number 115
_cell_length_a 4.188
_cell_length_b 4.188
_cell_length_c 10.598
_cell_angle_alpha 90.00
_cell_angle_beta 90.00
_cell_angle_gamma 90.00
loop_
_symmetry_equiv_pos_as_xyz
'x,y,z'
'y,-x,-z'
'-x,-y,z'
'-y,x,-z'
'-x,y,z'
'-y,-x,-z'
'x,-y,z'
'y,x,-z'
loop_
_atom_site_label
_atom_site_type_symbol
_atom_site_fract_x
_atom_site_fract_y
_atom_site_fract_z
Li1 Li 0.000 0.000 0.000
Nd1 Nd 0.000 0.500 0.748
Ga1 Ga 0.000 0.500 0.373
Ga2 Ga 0.500 0.500 0.000
Ir1 Ir 0.000 0.000 0.500
Ir2 Ir 0.000 0.500 0.139
Ir3 Ir 0.500 0.500 0.500
```

Entry 7:
Density functional theory data (GGA-PBE) for a relaxed KZnSb2 crystal.

## Properties
Its density of states at the Fermi level is 2.958 states/eV/cell. Its formation energy without anion corrections is -0.11 eV per atom.

The structure in CIF format:
```
data_KZnSb2
_symmetry_space_group_name_H-M 'C 1 2/m 1'
_symmetry_Int_Tables_number 12
_cell_length_a 9.756
_cell_length_b 3.942
_cell_length_c 6.772
_cell_angle_alpha 90.00
_cell_angle_beta 105.91
_cell_angle_gamma 90.00
loop_
_symmetry_equiv_pos_as_xyz
'x,y,z'
'-x,-y,-z'
'-x,y,-z'
'x,-y,z'
'x+1/2,y+1/2,z'
'-x+1/2,-y+1/2,-z'
'-x+1/2,y+1/2,-z'
'x+1/2,-y+1/2,z'
loop_
_atom_site_label
_atom_site_type_symbol
_atom_site_fract_x
_atom_site_fract_y
_atom_site_fract_z
K1 K 0.000 0.000 0.000
Zn1 Zn 0.000 0.500 0.500
Sb1 Sb 0.220 0.000 0.648
```

Entry 8:
Density functional theory data (GGA-PBE) for a relaxed Rb4Sm3HfS8 crystal.

## Properties
Its density of states at the Fermi level is 12.504 states/eV/cell. Its formation energy without anion corrections is -1.71 eV per atom.

The structure in CIF format:
```
data_Rb4Sm3HfS8
_symmetry_space_group_name_H-M 'R -3 m'
_symmetry_Int_Tables_number 166
_symmetry_space_group_name_Hall '-R 3 2"'
_cell_length_a 8.1253
_cell_length_b 8.1253
_cell_length_c 23.1267
_cell_angle_alpha 90.00
_cell_angle_beta 90.00
_cell_angle_gamma 120.00
loop_
_atom_site_label
_atom_site_type_symbol
_atom_site_fract_x
_atom_site_fract_y
_atom_site_fract_z
Rb1 Rb 0.0000 0.0000 0.0000
Rb2 Rb 0.0000 0.5000 0.0000
Sm1 Sm 0.0000 0.5000 0.5000
Hf1 Hf 0.0000 0.0000 0.5000
S1 S 0.0000 0.0000 0.2336
S2 S 0.0226 0.5113 0.2303
```